[1]
Material: GaPt
Method: DFT, PBE-GGA
State: optimized geometry

a b c (Å): 6.723 6.723 6.723
angles (deg): 95.82 95.82 142.87
Fractional positions:
Ga: 0.150 0.251 0.401
Ga: 0.251 0.850 0.101
Ga: 0.749 0.150 0.899
Ga: 0.850 0.749 0.599
Pt: 0.095 0.626 0.721
Pt: 0.374 0.095 0.469
Pt: 0.626 0.905 0.531
Pt: 0.905 0.374 0.279

Summary:
formation energy from the elements: -0.428 eV/atom
space-group type: No. 87

[2]
Material: Tm2GaFe5B2
Method: DFT, PBE-GGA
State: optimized geometry

a b c (Å): 8.909 8.909 3.156
angles (deg): 90.00 90.00 90.00
Fractional positions:
Tm: 0.177 0.323 0.000
Tm: 0.323 0.823 0.000
Tm: 0.677 0.177 0.000
Tm: 0.823 0.677 0.000
Ga: 0.000 0.000 0.000
Ga: 0.500 0.500 0.000
Fe: 0.000 0.500 0.500
Fe: 0.068 0.774 0.500
Fe: 0.226 0.068 0.500
Fe: 0.274 0.568 0.500
Fe: 0.432 0.274 0.500
Fe: 0.500 0.000 0.500
Fe: 0.568 0.726 0.500
Fe: 0.726 0.432 0.500
Fe: 0.774 0.932 0.500
Fe: 0.932 0.226 0.500
B: 0.118 0.618 0.000
B: 0.382 0.118 0.000
B: 0.618 0.882 0.000
B: 0.882 0.382 0.000

Summary:
formation energy from the elements: -0.256 eV/atom
space-group type: No. 127

[3]
Material: RbTa2Re2
Method: DFT, PBE-GGA
State: optimized geometry

a b c (Å): 8.695 8.695 2.702
angles (deg): 90.00 90.00 90.00
Fractional positions:
Rb: 0.000 0.000 0.000
Rb: 0.500 0.500 0.000
Ta: 0.139 0.361 0.000
Ta: 0.361 0.861 0.000
Ta: 0.639 0.139 0.000
Ta: 0.861 0.639 0.000
Re: 0.148 0.648 0.500
Re: 0.352 0.148 0.500
Re: 0.648 0.852 0.500
Re: 0.852 0.352 0.500

Summary:
formation energy from the elements: 0.685 eV/atom
space-group type: No. 127

[4]
Material: TbNdDy3Y
Method: DFT, PBE-GGA
State: optimized geometry

a b c (Å): 9.578 3.608 11.994
angles (deg): 90.00 110.45 90.00
Fractional positions:
Tb: 0.124 0.250 0.123
Tb: 0.876 0.750 0.877
Nd: 0.372 0.750 0.373
Nd: 0.628 0.250 0.627
Dy: 0.067 0.250 0.403
Dy: 0.181 0.250 0.848
Dy: 0.431 0.750 0.095
Dy: 0.569 0.250 0.905
Dy: 0.819 0.750 0.152
Dy: 0.933 0.750 0.597
Y: 0.318 0.750 0.655
Y: 0.682 0.250 0.345

Summary:
formation energy from the elements: -0.002 eV/atom
space-group type: No. 11

[5]
Material: Cs2ZrGeBr6
Method: DFT, PBE-GGA
State: optimized geometry

a b c (Å): 8.343 8.343 8.343
angles (deg): 123.88 123.88 83.41
Fractional positions:
Cs: 0.250 0.750 0.500
Cs: 0.750 0.250 0.500
Zr: 0.000 0.000 0.000
Ge: 0.500 0.500 0.000
Br: 0.217 0.217 0.000
Br: 0.246 0.246 0.493
Br: 0.246 0.754 0.000
Br: 0.754 0.246 0.000
Br: 0.754 0.754 0.507
Br: 0.783 0.783 0.000

Summary:
space-group type: No. 139
formation energy (no corrections): -1174 meV per atom

[6]
Material: TmNbFe10
Method: DFT, PBE-GGA
State: optimized geometry

a b c (Å): 3.968 4.829 8.333
angles (deg): 90.00 90.00 90.00
Fractional positions:
Tm: 0.000 0.000 0.000
Nb: 0.000 0.500 0.500
Fe: 0.000 0.000 0.342
Fe: 0.000 0.000 0.658
Fe: 0.000 0.500 0.178
Fe: 0.000 0.500 0.822
Fe: 0.500 0.000 0.500
Fe: 0.500 0.252 0.257
Fe: 0.500 0.252 0.743
Fe: 0.500 0.500 0.000
Fe: 0.500 0.748 0.257
Fe: 0.500 0.748 0.743

Summary:
formation energy from the elements: 0.014 eV/atom
space-group type: No. 47

[7]
Material: TlOsW2
Method: DFT, PBE-GGA
State: optimized geometry

a b c (Å): 2.864 4.073 6.086
angles (deg): 90.00 90.00 90.00
Fractional positions:
Tl: 0.000 0.000 0.000
Os: 0.500 0.500 0.699
W: 0.000 0.000 0.512
W: 0.500 0.500 0.290

Summary:
formation energy from the elements: 0.688 eV/atom
space-group type: No. 25

[8]
Material: Pr3MgNi
Method: DFT, PBE-GGA
State: optimized geometry

a b c (Å): 6.236 6.236 9.217
angles (deg): 114.47 114.47 67.42
Fractional positions:
Pr: 0.065 0.065 0.243
Pr: 0.298 0.298 0.695
Pr: 0.310 0.310 0.095
Pr: 0.690 0.690 0.905
Pr: 0.702 0.702 0.305
Pr: 0.935 0.935 0.757
Mg: 0.291 0.709 0.500
Mg: 0.709 0.291 0.500
Ni: 0.300 0.700 0.000
Ni: 0.700 0.300 0.000

Summary:
formation energy from the elements: -0.121 eV/atom
space-group type: No. 12

Number 1: calculated density 10.116 Mg/m³. Number 2: calculated density 9.393 Mg/m³. Number 3: calculated density 13.327 Mg/m³. Number 4: calculated density 7.521 Mg/m³. Number 5: calculated density 3.934 Mg/m³. Number 6: calculated density 8.531 Mg/m³. Number 7: calculated density 17.828 Mg/m³. Number 8: calculated density 5.852 Mg/m³.